1.
## PrPu2CrN4 (PBE)

Data for a relaxed PrPu2CrN4 crystal.

a = 3.428 Å, b = 11.592 Å, c = 11.600 Å
α = 90.00°, β = 90.00°, γ = 90.00°
Space group Cmcm (No. 63)
Asymmetric unit:
Pr (0.000, 0.094, 0.250) (multiplicity 4)
Pu (0.000, 0.368, 0.048) (multiplicity 8)
Cr (0.000, 0.165, 0.750) (multiplicity 4)
N (0.000, 0.000, 0.000) (multiplicity 4)
N (0.000, 0.261, 0.622) (multiplicity 8)
N (0.000, 0.427, 0.250) (multiplicity 4)

Total moment (μB/f.u.): 8.59
Volume (Å³ per cell): 460.9
Uncorrected energy (eV/atom): -10.602


2.
## PrPuCrN4 (PBE)

Data for a relaxed PrPuCrN4 crystal.

a = 5.282 Å, b = 12.684 Å, c = 5.283 Å
α = 90.00°, β = 90.00°, γ = 90.00°
Space group Cmcm (No. 63)
Asymmetric unit:
Pr (0.000, 0.108, 0.250) (multiplicity 4)
Pu (0.000, 0.393, 0.250) (multiplicity 4)
Cr (0.000, 0.228, 0.750) (multiplicity 4)
N (0.000, 0.087, 0.750) (multiplicity 4)
N (0.000, 0.441, 0.750) (multiplicity 4)
N (0.250, 0.250, 0.000) (multiplicity 8)

Total moment (μB/f.u.): 4.70
Volume (Å³ per cell): 354.0
Uncorrected energy (eV/atom): -9.754


3.
## RbPrCrN3 (PBE)

Data for a relaxed RbPrCrN3 crystal.

a = 13.664 Å, b = 3.765 Å, c = 8.364 Å
α = 90.00°, β = 104.72°, γ = 90.00°
Space group C2/m (No. 12)
Asymmetric unit:
Rb (0.135, 0.000, 0.068) (multiplicity 4)
Pr (0.161, 0.000, 0.593) (multiplicity 4)
Cr (0.010, 0.500, 0.339) (multiplicity 4)
N (0.014, 0.000, 0.356) (multiplicity 4)
N (0.118, 0.500, 0.780) (multiplicity 4)
N (0.150, 0.500, 0.362) (multiplicity 4)

Total moment (μB/f.u.): 0.00
Volume (Å³ per cell): 416.1
Uncorrected energy (eV/atom): -7.119


4.
## PrSmCrN4 (PBE)

Data for a relaxed PrSmCrN4 crystal.

a = 5.651 Å, b = 5.512 Å, c = 6.968 Å
α = 90.00°, β = 108.34°, γ = 90.00°
Space group P2_1/m (No. 11)
Asymmetric unit:
Pr (0.220, 0.250, 0.434) (multiplicity 2)
Sm (0.292, 0.250, 0.963) (multiplicity 2)
Cr (0.264, 0.750, 0.199) (multiplicity 2)
N (0.063, 0.750, 0.345) (multiplicity 2)
N (0.097, 0.750, 0.945) (multiplicity 2)
N (0.469, 0.505, 0.256) (multiplicity 4)

Total moment (μB/f.u.): 0.00
Volume (Å³ per cell): 206.0
Uncorrected energy (eV/atom): -8.552